Record 1
Density functional theory data (GGA-PBEsol) for a relaxed InSiSbO2 crystal.

Lattice parameters (Å, degrees): 3.7856 3.7856 5.3533 90.00 90.00 90.00
Element x y z (fractional)
Si: 0.0000 0.0000 0.0000
O: 0.0000 0.5000 0.0000
O: 0.5000 0.0000 0.0000
In: 0.5000 0.5000 0.5000
Sb: 0.0000 0.0000 0.5000

Calculated values
VASP energy	-5.42	eV per atom
space-group type	No. 123

***

Record 2
Density functional theory data (GGA-PBEsol) for a relaxed YTlIn2 crystal.

Lattice parameters (Å, degrees): 4.4253 4.4253 5.9246 111.93 111.93 90.00
Element x y z (fractional)
In: 0.2500 0.7500 0.5000
In: 0.7500 0.2500 0.5000
Tl: 0.0000 0.0000 0.0000
Y: 0.5000 0.5000 0.0000

Calculated values
VASP energy	-4.23	eV per atom
space-group type	No. 139

***

Record 3
Density functional theory data (GGA-PBEsol) for a relaxed TlIn3 crystal.

Lattice parameters (Å, degrees): 5.9705 5.9705 5.9705 90.00 90.00 90.00
Element x y z (fractional)
In: 0.5000 0.0000 0.2500
In: 0.5000 0.0000 0.7500
In: 0.0000 0.7500 0.5000
In: 0.2500 0.5000 0.0000
In: 0.7500 0.5000 0.0000
In: 0.0000 0.2500 0.5000
Tl: 0.0000 0.0000 0.0000
Tl: 0.5000 0.5000 0.5000

Calculated values
VASP energy	-2.84	eV per atom
space-group type	No. 223

***

Record 4
Density functional theory data (GGA-PBEsol) for a relaxed CaYTe2 crystal.

Lattice parameters (Å, degrees): 4.4392 4.4392 9.5389 76.54 76.54 60.00
Site moments in Bohr magnetons follow the coordinates.
Element x y z (fractional)
Y: 0.0000 0.0000 0.0000  0.07
Te: 0.8975 0.8975 0.3075  0.00
Te: 0.1025 0.1025 0.6925  0.00
Ca: 0.5000 0.5000 0.5000  0.00

Calculated values
VASP energy	-4.78	eV per atom
space-group type	No. 166

***

Record 5
Density functional theory data (GGA-PBEsol) for a relaxed AlNiIr2 crystal.

Lattice parameters (Å, degrees): 2.6882 4.6352 5.0319 116.71 104.37 92.37
Element x y z (fractional)
Al: 0.5000 0.0000 0.0000
Ni: 0.0000 0.5000 0.0000
Ir: 0.5000 0.5000 0.5000
Ir: 0.0000 0.0000 0.5000

Calculated values
VASP energy	-7.66	eV per atom
space-group type	No. 12

***

Record 6
Density functional theory data (GGA-PBEsol) for a relaxed Ru2PtI crystal.

Lattice parameters (Å, degrees): 4.4792 4.4792 4.4792 60.00 60.00 60.00
Site moments in Bohr magnetons follow the coordinates.
Element x y z (fractional)
Ru: 0.2500 0.2500 0.2500  0.66
Ru: 0.7500 0.7500 0.7500  0.66
I: 0.0000 0.0000 0.0000  0.01
Pt: 0.5000 0.5000 0.5000  0.10

Calculated values
VASP energy	-6.49	eV per atom
space-group type	No. 225

***

Record 7
Density functional theory data (GGA-PBEsol) for a relaxed K8Au crystal.

Lattice parameters (Å, degrees): 4.5258 11.0940 11.0940 87.62 78.23 78.23
Element x y z (fractional)
K: 0.6682 0.3318 0.3318
K: 0.0000 0.6682 0.3318
K: 0.0000 0.3318 0.6682
K: 0.6255 0.7491 0.0000
K: 0.6255 0.0000 0.7491
K: 0.3745 0.2509 0.0000
K: 0.3745 0.0000 0.2509
K: 0.3318 0.6682 0.6682
Au: 0.0000 0.0000 0.0000

Calculated values
VASP energy	-1.43	eV per atom
space-group type	No. 139

***

Record 8
Density functional theory data (GGA-PBEsol) for a relaxed Li2InFe crystal.

Lattice parameters (Å, degrees): 2.8100 3.8677 6.4336 90.00 114.93 90.00
Site moments in Bohr magnetons follow the coordinates.
Element x y z (fractional)
Li: 0.0057 0.0000 0.0106  -0.01
Li: 0.7650 0.5000 0.2609  -0.02
Fe: 0.5023 0.0000 0.4991  2.56
In: 0.2270 0.5000 0.7294  -0.05

Calculated values
VASP energy	-3.82	eV per atom
space-group type	No. 6